1.
Material: RbHo2PuO8
Method: DFT, PBE
State: optimized geometry

Lattice parameters (Å, degrees): 5.090 5.088 7.728 89.91 89.91 90.17
Site moments in Bohr magnetons follow the coordinates.
Sites, in units of the cell vectors:
O  0.395  0.394  0.500  -0.04
O  0.702  0.703  0.999  -0.04
O  0.811  0.188  0.185  -0.07
O  0.187  0.811  0.185  -0.07
O  0.813  0.189  0.815  -0.07
O  0.605  0.606  0.500  -0.04
O  0.189  0.812  0.815  -0.07
O  0.298  0.297  0.001  -0.04
Ho  0.500  0.500  0.785  -0.01
Ho  0.500  0.500  0.215  -0.01
Rb  0.000  0.000  0.500  0.00
Pu  0.000  0.000  0.000  1.43

Calculated values
- uncorrected formation energy (eV/atom) = -2.52
- space-group type = No. 2

=====

2.
Material: KBaAs2
Method: DFT, PBE
State: optimized geometry

Lattice parameters (Å, degrees): 6.163 6.163 7.119 56.82 56.82 43.87
Sites, in units of the cell vectors:
K  0.250  0.250  0.250
As  0.999  0.999  0.846
As  0.501  0.501  0.654
Ba  0.750  0.750  0.750

Calculated values
- energy relative to the lowest polymorph listed for this composition (eV per formula unit) = 0.395
- space-group type = No. 12
- ΔH_f (0 K) (kJ per mole of atoms) = -57
- D(E_F) (states/eV per atom) = 0.2086

=====

3.
Material: Ba3SmTm3Te8
Method: DFT, PBE
State: optimized geometry

Lattice parameters (Å, degrees): 8.958 8.954 9.480 118.16 90.01 120.00
Sites, in units of the cell vectors:
Te  0.755  0.028  0.283
Te  0.726  0.972  0.717
Te  0.245  0.972  0.717
Te  0.274  0.028  0.283
Te  0.263  0.525  0.288
Te  0.755  0.509  0.283
Te  0.245  0.491  0.717
Te  0.737  0.475  0.712
Ba  0.000  0.500  0.000
Ba  0.500  0.500  0.000
Ba  0.000  0.000  0.000
Sm  0.000  0.000  0.500
Tm  0.500  0.000  0.500
Tm  0.000  0.500  0.500
Tm  0.500  0.500  0.500

Calculated values
- uncorrected formation energy (eV/atom) = -1.51
- space-group type = No. 166
- D(E_F) (states/eV per atom) = 0.2861

=====

4.
Material: Cs2BaTeO6
Method: DFT, PBE
State: optimized geometry

Lattice parameters (Å, degrees): 6.812 6.941 6.941 120.00 90.00 90.00
Site moments in Bohr magnetons follow the coordinates.
Sites, in units of the cell vectors:
O  0.171  0.260  0.130  0.28
O  0.829  0.740  0.870  0.28
O  0.171  0.870  0.130  0.28
O  0.829  0.130  0.260  0.28
O  0.171  0.870  0.740  0.28
O  0.829  0.130  0.870  0.28
Cs  0.097  0.333  0.667  0.00
Cs  0.903  0.667  0.333  0.00
Te  0.000  0.000  0.000  -0.04
Ba  0.500  0.000  0.000  -0.01

Calculated values
- uncorrected formation energy (eV/atom) = -1.37
- space-group type = No. 164
- D(E_F) (states/eV per atom) = 0.5022

=====

5.
Material: Ca2Nd6Y
Method: DFT, PBE
State: optimized geometry

Lattice parameters (Å, degrees): 3.595 11.001 10.084 123.06 100.28 90.00
Sites, in units of the cell vectors:
Nd  0.500  0.290  0.000
Nd  0.500  0.710  0.000
Nd  0.824  0.659  0.647
Nd  0.176  0.012  0.353
Nd  0.824  0.988  0.647
Nd  0.176  0.341  0.353
Ca  0.851  0.351  0.702
Ca  0.149  0.649  0.298
Y  0.000  0.000  0.000

Calculated values
- space-group type = No. 71
- ΔH_f (0 K) (kJ per mole of atoms) = 11
- D(E_F) (states/eV per atom) = 1.4530

=====

6.
Material: LiOs2Pd
Method: DFT, PBE
State: optimized geometry

Lattice parameters (Å, degrees): 3.604 3.604 9.812 79.42 79.42 90.00
Sites, in units of the cell vectors:
Pd  0.000  0.000  0.000
Pd  0.750  0.250  0.500
Os  0.158  0.625  0.250
Os  0.592  0.125  0.250
Os  0.875  0.842  0.750
Os  0.375  0.408  0.750
Li  0.500  0.500  0.000
Li  0.250  0.750  0.500

Calculated values
- energy relative to the lowest polymorph listed for this composition (eV per formula unit) = 0.000
- space-group type = No. 122
- ΔH_f (0 K) (kJ per mole of atoms) = 56
- D(E_F) (states/eV per atom) = 1.0104

=====

7.
Material: Sm3MgAl8
Method: DFT, PBE
State: optimized geometry

Lattice parameters (Å, degrees): 5.594 5.594 9.692 73.23 73.23 60.00
Sites, in units of the cell vectors:
Al  0.437  0.938  0.686
Al  0.188  0.188  0.436
Al  0.437  0.437  0.187
Al  0.940  0.437  0.187
Al  0.938  0.938  0.686
Al  0.938  0.437  0.686
Al  0.437  0.940  0.187
Al  0.687  0.687  0.938
Sm  0.502  0.502  0.493
Sm  0.374  0.374  0.877
Sm  0.997  0.997  0.010
Mg  0.874  0.874  0.377

Calculated values
- space-group type = No. 160
- ΔH_f (0 K) (kJ per mole of atoms) = -37
- D(E_F) (states/eV per atom) = 0.6422

=====

8.
Material: TbTiTl2
Method: DFT, PBE
State: optimized geometry

Lattice parameters (Å, degrees): 4.429 4.663 4.663 90.00 90.00 90.00
Site moments in Bohr magnetons follow the coordinates.
Sites, in units of the cell vectors:
Tl  0.000  0.000  0.500  -0.01
Tl  0.000  0.500  0.000  -0.01
Tb  0.500  0.500  0.500  0.23
Ti  0.500  0.000  0.000  1.20

Calculated values
- space-group type = No. 123
- ΔH_f (0 K) (kJ per mole of atoms) = -5
- D(E_F) (states/eV per atom) = 0.5844

=====

9.
Material: Co6ReTc
Method: DFT, PBE
State: optimized geometry

Lattice parameters (Å, degrees): 3.586 5.113 5.113 90.34 90.00 90.00
Site moments in Bohr magnetons follow the coordinates.
Sites, in units of the cell vectors:
Co  0.500  0.379  0.133  0.94
Co  0.000  0.635  0.365  1.49
Co  0.000  0.632  0.876  0.92
Co  0.500  0.864  0.136  1.63
Co  0.000  0.124  0.368  0.92
Co  0.500  0.867  0.621  0.94
Tc  0.000  0.121  0.879  0.03
Re  0.500  0.378  0.622  -0.07

Calculated values
- space-group type = No. 38
- ΔH_f (0 K) (kJ per mole of atoms) = 7
- D(E_F) (states/eV per atom) = 1.1422

=====

10.
Material: Sc2CuSi
Method: DFT, PBE
State: optimized geometry

Lattice parameters (Å, degrees): 3.980 5.452 7.117 109.38 90.00 90.00
Sites, in units of the cell vectors:
Sc  0.250  0.801  0.082
Sc  0.750  0.199  0.918
Sc  0.750  0.211  0.432
Sc  0.250  0.789  0.568
Cu  0.250  0.360  0.717
Cu  0.750  0.640  0.283
Si  0.250  0.350  0.211
Si  0.750  0.650  0.789

Calculated values
- uncorrected formation energy (eV/atom) = -0.55
- space-group type = No. 11
- D(E_F) (states/eV per atom) = 0.9538

=====

11.
Material: BaCaPH
Method: DFT, PBE
State: optimized geometry

Lattice parameters (Å, degrees): 5.125 5.125 5.125 60.00 60.00 60.00
Sites, in units of the cell vectors:
Ba  0.250  0.250  0.250
H  0.000  0.000  0.000
Ca  0.750  0.750  0.750
P  0.500  0.500  0.500

Calculated values
- energy relative to the lowest polymorph listed for this composition (eV per formula unit) = 0.758
- space-group type = No. 216

=====

12.
Material: In2Pd2Cl
Method: DFT, PBE
State: optimized geometry

Lattice parameters (Å, degrees): 7.895 7.895 3.198 90.00 90.00 90.00
Sites, in units of the cell vectors:
Pd  0.374  0.874  0.000
Pd  0.626  0.126  0.000
Pd  0.126  0.374  0.000
Pd  0.874  0.626  0.000
Cl  0.000  0.000  0.000
Cl  0.500  0.500  0.000
In  0.828  0.328  0.500
In  0.672  0.828  0.500
In  0.172  0.672  0.500
In  0.328  0.172  0.500

Calculated values
- uncorrected formation energy (eV/atom) = -0.40
- energy relative to the lowest polymorph listed for this composition (eV per formula unit) = 0.000
- space-group type = No. 127
- D(E_F) (states/eV per atom) = 0.4550

=====

13.
Material: Ac4Cd2InHg
Method: DFT, PBE
State: optimized geometry

Lattice parameters (Å, degrees): 5.758 5.758 9.985 73.24 73.24 60.00
Sites, in units of the cell vectors:
Cd  0.252  0.252  0.245
Cd  0.748  0.748  0.755
Ac  0.376  0.376  0.872
Ac  0.126  0.126  0.621
Ac  0.874  0.874  0.379
Ac  0.624  0.624  0.128
In  0.000  0.000  0.000
Hg  0.500  0.500  0.500

Calculated values
- space-group type = No. 166
- ΔH_f (0 K) (kJ per mole of atoms) = -36
- D(E_F) (states/eV per atom) = 1.2650

=====

14.
Material: Li3Pm2NdSe6
Method: DFT, PBE
State: optimized geometry

Lattice parameters (Å, degrees): 7.254 7.254 6.956 100.00 100.00 120.01
Sites, in units of the cell vectors:
Se  0.421  0.086  0.259
Se  0.914  0.579  0.741
Se  0.249  0.249  0.741
Se  0.751  0.751  0.259
Se  0.579  0.914  0.741
Se  0.086  0.421  0.259
Li  0.168  0.832  0.500
Li  0.832  0.168  0.500
Li  0.500  0.500  0.500
Nd  0.000  0.000  0.000
Pm  0.333  0.667  0.000
Pm  0.667  0.333  0.000

Calculated values
- uncorrected formation energy (eV/atom) = -1.67
- space-group type = No. 12

=====

15.
Material: TiAl2Ru
Method: DFT, PBE
State: optimized geometry

Lattice parameters (Å, degrees): 4.363 4.363 4.363 60.00 60.00 60.00
Sites, in units of the cell vectors:
Ru  0.500  0.500  0.500
Al  0.250  0.250  0.250
Al  0.750  0.750  0.750
Ti  0.000  0.000  0.000

Calculated values
- space-group type = No. 225
- ΔH_f (0 K) (kJ per mole of atoms) = -45
- D(E_F) (states/eV per atom) = 0.9138

=====

16.
Material: Ce
Method: DFT, PBE
State: optimized geometry

Lattice parameters (Å, degrees): 3.249 3.249 3.249 109.47 109.47 109.47
Sites, in units of the cell vectors:
Ce  0.000  0.000  0.000

Calculated values
- energy relative to the lowest polymorph listed for this composition (eV per formula unit) = 0.232
- space-group type = No. 229
- ΔH_f (0 K) (kJ per mole of atoms) = 22
- D(E_F) (states/eV per atom) = 3.7026

=====

17.
Material: CoCuTc
Method: DFT, PBE
State: optimized geometry

Lattice parameters (Å, degrees): 5.645 5.645 2.648 76.43 76.43 27.13
Site moments in Bohr magnetons follow the coordinates.
Sites, in units of the cell vectors:
Tc  0.657  0.657  0.343  -0.05
Co  0.003  0.003  0.997  0.23
Cu  0.340  0.340  0.660  0.00

Calculated values
- energy relative to the lowest polymorph listed for this composition (eV per formula unit) = 0.000
- space-group type = No. 107
- ΔH_f (0 K) (kJ per mole of atoms) = 16
- D(E_F) (states/eV per atom) = 0.9498

=====

18.
Material: PrNdNiBr
Method: DFT, PBE
State: optimized geometry

Lattice parameters (Å, degrees): 4.087 4.087 8.174 90.00 104.47 120.00
Sites, in units of the cell vectors:
Ni  0.303  0.549  0.867
Nd  0.509  0.152  0.676
Pr  0.098  0.947  0.061
Br  0.968  0.382  0.366

Calculated values
- uncorrected formation energy (eV/atom) = -0.79
- space-group type = No. 160
- D(E_F) (states/eV per atom) = 0.8025

=====

19.
Material: Cs3Tl3IrO8
Method: DFT, PBE
State: optimized geometry

Lattice parameters (Å, degrees): 7.033 7.045 7.957 116.21 90.00 119.94
Site moments in Bohr magnetons follow the coordinates.
Sites, in units of the cell vectors:
O  0.808  0.036  0.344  -0.04
O  0.772  0.964  0.656  -0.04
O  0.191  0.383  0.656  -0.05
O  0.228  0.036  0.344  -0.04
O  0.192  0.964  0.656  -0.04
O  0.809  0.617  0.344  -0.05
O  0.275  0.551  0.330  -0.02
O  0.725  0.449  0.670  -0.02
Cs  0.000  0.000  0.000  0.00
Cs  0.000  0.500  0.000  0.00
Cs  0.500  0.500  0.000  0.00
Tl  0.500  0.500  0.500  0.00
Tl  0.500  0.000  0.500  0.01
Tl  0.000  0.500  0.500  0.00
Ir  0.000  0.000  0.500  -0.68

Calculated values
- uncorrected formation energy (eV/atom) = -0.94
- space-group type = No. 12
- D(E_F) (states/eV per atom) = 0.3245

=====

20.
Material: NbFeBi3
Method: DFT, PBE
State: optimized geometry

Lattice parameters (Å, degrees): 5.478 5.478 5.478 90.00 90.00 90.00
Site moments in Bohr magnetons follow the coordinates.
Sites, in units of the cell vectors:
Bi  0.500  0.000  0.000  -0.05
Bi  0.000  0.000  0.500  -0.06
Bi  0.000  0.500  0.000  -0.06
Fe  0.500  0.500  0.500  3.23
Nb  0.000  0.000  0.000  0.06

Calculated values
- energy relative to the lowest polymorph listed for this composition (eV per formula unit) = 0.400
- space-group type = No. 221
- ΔH_f (0 K) (kJ per mole of atoms) = 97
- D(E_F) (states/eV per atom) = 1.7082

=====

What total magnetic moment values result from the calculations? In sequence: 0.0797, 0.0000, 0.0000, 0.2008, 0.0000, 0.0000, 0.0000, 0.4362, 0.8383, 0.0000, 0.0000, 0.0000, 0.0008, 0.0000, 0.0000, 0.0005, 0.0576, 0.0000, 0.0724, 0.6540 μB per atom.